Record 1
The following is a PBE calculation of a geometry-optimized CsCd3Ag2 structure, from Alexandria via LeMat-Bulk.

E above lowest polymorph: 59.2 meV per atom
Energy relative to the elements: -0.010 eV/atom
Total energy: -1.56 eV/atom
M_tot: 0.0 μB per cell

a b c (Å): 8.8093 8.8093 9.5519
angles (deg): 111.52 111.52 30.97
With the nearest neighbours (Å) after each atom.
Positions (direct):
1 Cs 0.1637 0.1637 0.0761  6 Ag 3.73-3.97, 5 Cd 3.98-4.09
2 Cs 0.8363 0.8363 0.9239  6 Ag 3.73-3.97, 5 Cd 3.98-4.09
3 Cd 0.0216 0.0216 0.3386  3 Ag 2.89-2.91, 2 Cd 2.99
4 Cd 0.3246 0.3246 0.5674  4 Ag 2.86-2.99, 1 Cd 3.11
5 Cd 0.4115 0.4115 0.3337  3 Ag 2.84-2.89, 3 Cd 2.99-3.11
6 Cd 0.5885 0.5885 0.6663  3 Ag 2.84-2.89, 3 Cd 2.99-3.11
7 Cd 0.6754 0.6754 0.4326  4 Ag 2.86-2.99, 1 Cd 3.11
8 Cd 0.9784 0.9784 0.6614  3 Ag 2.89-2.91, 2 Cd 2.99
9 Ag 0.1691 0.1691 0.6190  6 Cd 2.84-2.98
10 Ag 0.4847 0.4847 0.8455  1 Ag 2.79, 4 Cd 2.89-2.99
11 Ag 0.5153 0.5153 0.1545  1 Ag 2.79, 4 Cd 2.89-2.99
12 Ag 0.8309 0.8309 0.3810  6 Cd 2.84-2.98

=====

Record 2
The following is a PBE calculation of a geometry-optimized Cs5Cd12Ag2 structure, from Alexandria via LeMat-Bulk.

Energy relative to the elements: 0.000 eV/atom
Total energy: -1.10 eV/atom
M_tot: 0.0 μB per cell

a b c (Å): 10.0802 10.0802 9.4484
angles (deg): 92.45 92.45 45.54
With the nearest neighbours (Å) after each atom.
Positions (direct):
1 Cs 0.0000 0.0000 0.0000  8 Cd 3.54-3.62
2 Cs 0.2206 0.2206 0.9491  4 Cd 3.81-4.25, 3 Cs 4.15
3 Cs 0.2894 0.2894 0.4607  7 Cd 3.79-4.11, 2 Ag 4.16
4 Cs 0.7106 0.7106 0.5393  7 Cd 3.79-4.11, 2 Ag 4.16
5 Cs 0.7794 0.7794 0.0509  4 Cd 3.81-4.25, 3 Cs 4.15
6 Cd 0.0813 0.0813 0.5798  2 Ag 2.99, 5 Cd 3.10-3.31
7 Cd 0.1042 0.6937 0.7107  1 Ag 2.94, 3 Cd 3.08-3.21
8 Cd 0.2437 0.6135 0.2229  1 Ag 2.88, 3 Cd 2.89-3.16
9 Cd 0.3063 0.8958 0.2893  1 Ag 2.94, 3 Cd 3.08-3.21
10 Cd 0.3865 0.7563 0.7771  1 Ag 2.88, 3 Cd 2.89-3.16
11 Cd 0.4247 0.4247 0.9246  7 Cd 3.08-3.44
12 Cd 0.5753 0.5753 0.0754  7 Cd 3.08-3.44
13 Cd 0.6135 0.2437 0.2229  1 Ag 2.88, 3 Cd 2.89-3.16
14 Cd 0.6937 0.1042 0.7107  1 Ag 2.94, 3 Cd 3.08-3.21
15 Cd 0.7563 0.3865 0.7771  1 Ag 2.88, 3 Cd 2.89-3.16
16 Cd 0.8958 0.3063 0.2893  1 Ag 2.94, 3 Cd 3.08-3.21
17 Cd 0.9187 0.9187 0.4202  2 Ag 2.99, 5 Cd 3.10-3.31
18 Ag 0.3182 0.6818 0.5000  1 Ag 2.84, 6 Cd 2.88-2.99
19 Ag 0.6818 0.3182 0.5000  1 Ag 2.84, 6 Cd 2.88-2.99

=====

Record 3
The following is a PBE calculation of a geometry-optimized Cs4Cd2Ag structure, from Alexandria via LeMat-Bulk.

Energy relative to the elements: 0.072 eV/atom
Total energy: -1.09 eV/atom
M_tot: 0.0 μB per cell

a b c (Å): 10.5070 10.5070 10.5070
angles (deg): 139.05 139.05 59.29
With the nearest neighbours (Å) after each atom.
Positions (direct):
1 Cs 0.0000 0.5000 0.5000  2 Ag 3.68, 4 Cd 3.98
2 Cs 0.2002 0.2002 0.0000  1 Ag 3.66, 1 Cd 3.95
3 Cs 0.5000 0.0000 0.5000  2 Ag 3.68, 4 Cd 3.98
4 Cs 0.7998 0.7998 0.0000  1 Ag 3.66, 1 Cd 3.95
5 Cd 0.4165 0.4165 0.0000  1 Cd 3.05
6 Cd 0.5835 0.5835 0.0000  1 Cd 3.05
7 Ag 0.0000 0.0000 0.0000  6 Cs 3.66-3.68

=====

Record 4
The following is a PBE calculation of a geometry-optimized CsCdAg structure, from Alexandria via LeMat-Bulk.

E above lowest polymorph: 59.7 meV per atom
Energy relative to the elements: 0.047 eV/atom
Total energy: -1.49 eV/atom
M_tot: 0.0 μB per cell

a b c (Å): 7.1627 7.1627 7.1627
angles (deg): 147.67 147.67 46.38
With the nearest neighbours (Å) after each atom.
Positions (direct):
1 Cs 0.0000 0.0000 0.0000  5 Ag 3.69-4.04, 5 Cd 3.70-4.03, 4 Cs 3.99
2 Cd 0.2811 0.2811 0.0000  4 Ag 2.93
3 Ag 0.7200 0.7200 0.0000  4 Cd 2.93

=====

Record 5
The following is a PBE calculation of a geometry-optimized CsCdAgF6 structure, from Alexandria via LeMat-Bulk.

Total energy: -3.60 eV/atom
Uncorrected formation energy: -1.843 eV/atom
M_tot: 0.0 μB per cell

a b c (Å): 7.7964 7.7964 7.7964
angles (deg): 124.98 111.73 93.24
With the nearest neighbours (Å) after each atom.
Positions (direct):
1 Cs 0.3951 0.1451 0.2500  5 F 2.94-2.97
2 Cs 0.6049 0.8549 0.7500  5 F 2.94-2.97
3 Cd 0.0000 0.0000 0.5000  4 F 2.22-2.29
4 Cd 0.0000 0.5000 0.0000  4 F 2.22-2.29
5 Ag 0.0000 0.5000 0.5000  4 F 1.98
6 Ag 0.5000 0.5000 0.0000  4 F 1.98
7 F 0.1209 0.8709 0.2500  2 Cd 2.22
8 F 0.1324 0.3824 0.7500  2 Cd 2.29, 2 Ag 2.52
9 F 0.1552 0.4375 0.3328  1 Ag 1.98
10 F 0.1552 0.8224 0.7177  1 Ag 1.98
11 F 0.3953 0.1776 0.8328  1 Ag 1.98
12 F 0.3953 0.5625 0.2177  1 Ag 1.98
13 F 0.6047 0.4375 0.7823  1 Ag 1.98
14 F 0.6047 0.8224 0.1672  1 Ag 1.98
15 F 0.8448 0.1776 0.2823  1 Ag 1.98
16 F 0.8448 0.5625 0.6672  1 Ag 1.98
17 F 0.8676 0.6176 0.2500  2 Cd 2.29, 2 Ag 2.52
18 F 0.8791 0.1291 0.7500  2 Cd 2.22

=====

Record 6
The following is a PBE calculation of a geometry-optimized CsCd2Ag2F7 structure, from Alexandria via LeMat-Bulk.

Total energy: -3.66 eV/atom
Uncorrected formation energy: -1.867 eV/atom
M_tot: 0.0 μB per cell

a b c (Å): 10.8789 10.8789 10.8789
angles (deg): 156.22 154.91 34.84
With the nearest neighbours (Å) after each atom.
Positions (direct):
1 Cs 0.0000 0.0000 0.0000  12 F 3.23-3.26
2 Cd 0.3920 0.3920 0.0000  6 F 2.24-2.36
3 Cd 0.6080 0.6080 0.0000  6 F 2.24-2.36
4 Ag 0.2314 0.7314 0.5000  5 F 2.38-2.48
5 Ag 0.7686 0.2686 0.5000  5 F 2.38-2.48
6 F 0.1121 0.6121 0.5000  2 Cd 2.36, 1 Ag 2.48
7 F 0.2818 0.2818 0.0000  1 Cd 2.29, 4 Ag 2.38-2.47
8 F 0.3922 0.8922 0.5000  2 Cd 2.24
9 F 0.5000 0.5000 0.0000  2 Cd 2.24
10 F 0.6078 0.1078 0.5000  2 Cd 2.24
11 F 0.7182 0.7182 0.0000  1 Cd 2.29, 4 Ag 2.38-2.47
12 F 0.8879 0.3879 0.5000  2 Cd 2.36, 1 Ag 2.48

=====

Record 7
The following is a PBE calculation of a geometry-optimized Cs4CdAg3F12 structure, from Alexandria via LeMat-Bulk.

Total energy: -3.78 eV/atom
Uncorrected formation energy: -2.009 eV/atom
M_tot: 0.0 μB per cell

a b c (Å): 7.8244 7.8244 7.8244
angles (deg): 109.47 109.47 109.47
With the nearest neighbours (Å) after each atom.
Positions (direct):
1 Cs 0.0000 0.0000 0.5000  12 F 3.19
2 Cs 0.0000 0.5000 0.0000  12 F 3.19
3 Cs 0.5000 0.0000 0.0000  12 F 3.19
4 Cs 0.5000 0.5000 0.5000  12 F 3.19
5 Cd 0.0000 0.0000 0.0000  6 F 2.25
6 Ag 0.0000 0.5000 0.5000  6 F 2.26-2.27
7 Ag 0.5000 0.0000 0.5000  6 F 2.26-2.27
8 Ag 0.5000 0.5000 0.0000  6 F 2.26-2.27
9 F 0.0000 0.2486 0.2486  1 Cd 2.25, 1 Ag 2.27
10 F 0.0000 0.7514 0.7514  1 Cd 2.25, 1 Ag 2.27
11 F 0.2486 0.0000 0.2486  1 Cd 2.25, 1 Ag 2.27
12 F 0.2486 0.2486 0.0000  1 Cd 2.25, 1 Ag 2.27
13 F 0.2500 0.5000 0.7500  2 Ag 2.26
14 F 0.2500 0.7500 0.5000  2 Ag 2.26
15 F 0.5000 0.2500 0.7500  2 Ag 2.26
16 F 0.5000 0.7500 0.2500  2 Ag 2.26
17 F 0.7500 0.2500 0.5000  2 Ag 2.26
18 F 0.7500 0.5000 0.2500  2 Ag 2.26
19 F 0.7514 0.0000 0.7514  1 Cd 2.25, 1 Ag 2.27
20 F 0.7514 0.7514 0.0000  1 Cd 2.25, 1 Ag 2.27

=====

Record 8
The following is a PBE calculation of a geometry-optimized Cs2CdAgF6 structure, from Alexandria via LeMat-Bulk.

Total energy: -3.81 eV/atom
Uncorrected formation energy: -2.144 eV/atom
M_tot: 1.0 μB per cell

a b c (Å): 6.5651 6.5651 6.5651
angles (deg): 122.39 122.39 85.90
With the nearest neighbours (Å) after each atom.
Positions (direct):
1 Cs 0.2500 0.7500 0.5000  12 F 3.17-3.28
2 Cs 0.7500 0.2500 0.5000  12 F 3.17-3.28
3 Cd 0.0000 0.0000 0.0000  6 F 2.17-2.32
4 Ag 0.5000 0.5000 0.0000  4 F 2.16
5 F 0.2259 0.2259 0.0000  1 Cd 2.17
6 F 0.2589 0.2589 0.5177  1 Ag 2.16, 1 Cd 2.32
7 F 0.2589 0.7411 0.0000  1 Ag 2.16, 1 Cd 2.32
8 F 0.7411 0.2589 0.0000  1 Ag 2.16, 1 Cd 2.32
9 F 0.7411 0.7411 0.4823  1 Ag 2.16, 1 Cd 2.32
10 F 0.7741 0.7741 0.0000  1 Cd 2.17

=====

Record 9
The following is a PBE calculation of a geometry-optimized CsCdAg2F8 structure, from Alexandria via LeMat-Bulk.

Total energy: -3.40 eV/atom
Uncorrected formation energy: -1.527 eV/atom
M_tot: 3.1 μB per cell

a b c (Å): 7.8879 7.8879 7.8879
angles (deg): 45.09 45.09 45.09
With the nearest neighbours (Å) after each atom.
Positions (direct):
1 Cs 0.0000 0.0000 0.0000  6 F 3.13
2 Cd 0.5000 0.5000 0.5000  6 F 2.27
3 Ag 0.1994 0.1994 0.1994  4 F 2.05-2.28
4 Ag 0.8006 0.8006 0.8006  4 F 2.05-2.28
5 F 0.1465 0.3987 0.8214  1 Cd 2.27, 2 Ag 2.28-2.40
6 F 0.1786 0.8535 0.6013  1 Cd 2.27, 2 Ag 2.28-2.40
7 F 0.2960 0.2960 0.2960  1 Ag 2.05
8 F 0.3987 0.8214 0.1465  1 Cd 2.27, 2 Ag 2.28-2.40
9 F 0.6013 0.1786 0.8535  1 Cd 2.27, 2 Ag 2.28-2.40
10 F 0.7040 0.7040 0.7040  1 Ag 2.05
11 F 0.8214 0.1465 0.3987  1 Cd 2.27, 2 Ag 2.28-2.40
12 F 0.8535 0.6013 0.1786  1 Cd 2.27, 2 Ag 2.28-2.40

=====

Record 10
The following is a PBE calculation of a geometry-optimized Cs3Cd2AgF9 structure, from Alexandria via LeMat-Bulk.

Total energy: -3.85 eV/atom
Uncorrected formation energy: -2.243 eV/atom
M_tot: 1.0 μB per cell

a b c (Å): 6.4289 6.4289 7.8852
angles (deg): 90.00 90.00 120.00
With the nearest neighbours (Å) after each atom.
Positions (direct):
1 Cs 0.0000 0.0000 0.0000  12 F 3.21-3.22
2 Cs 0.3333 0.6667 0.6631  12 F 3.19-3.24
3 Cs 0.6667 0.3333 0.3369  12 F 3.19-3.24
4 Cd 0.3333 0.6667 0.1660  6 F 2.26-2.27
5 Cd 0.6667 0.3333 0.8340  6 F 2.26-2.27
6 Ag 0.0000 0.0000 0.5000  6 F 2.29
7 F 0.0000 0.5000 0.0000  2 Cd 2.27
8 F 0.1677 0.3354 0.3327  1 Cd 2.26, 1 Ag 2.29
9 F 0.1677 0.8323 0.3327  1 Cd 2.26, 1 Ag 2.29
10 F 0.3354 0.1677 0.6673  1 Cd 2.26, 1 Ag 2.29
11 F 0.5000 0.0000 0.0000  2 Cd 2.27
12 F 0.5000 0.5000 0.0000  2 Cd 2.27
13 F 0.6646 0.8323 0.3327  1 Cd 2.26, 1 Ag 2.29
14 F 0.8323 0.1677 0.6673  1 Cd 2.26, 1 Ag 2.29
15 F 0.8323 0.6646 0.6673  1 Cd 2.26, 1 Ag 2.29

=====

Number 9 is which compound? CsCdAg2F8

=====

What did the eighth record say?
The following is a PBE calculation of a geometry-optimized Cs2CdAgF6 structure, from Alexandria via LeMat-Bulk.

Total energy: -3.81 eV/atom
Uncorrected formation energy: -2.144 eV/atom
M_tot: 1.0 μB per cell

a b c (Å): 6.5651 6.5651 6.5651
angles (deg): 122.39 122.39 85.90
With the nearest neighbours (Å) after each atom.
Positions (direct):
1 Cs 0.2500 0.7500 0.5000  12 F 3.17-3.28
2 Cs 0.7500 0.2500 0.5000  12 F 3.17-3.28
3 Cd 0.0000 0.0000 0.0000  6 F 2.17-2.32
4 Ag 0.5000 0.5000 0.0000  4 F 2.16
5 F 0.2259 0.2259 0.0000  1 Cd 2.17
6 F 0.2589 0.2589 0.5177  1 Ag 2.16, 1 Cd 2.32
7 F 0.2589 0.7411 0.0000  1 Ag 2.16, 1 Cd 2.32
8 F 0.7411 0.2589 0.0000  1 Ag 2.16, 1 Cd 2.32
9 F 0.7411 0.7411 0.4823  1 Ag 2.16, 1 Cd 2.32
10 F 0.7741 0.7741 0.0000  1 Cd 2.17